VASP calculation (PBE+U) on La2NdMoO8 after structural relaxation.

Geometry as CIF:
```
data_La2NdMoO8
_chemical_formula_sum 'La2 Nd1 Mo1 O8'
_space_group_name_H-M_alt 'P 1 2/m 1'
_space_group_IT_number 10
_cell_length_a 4.390
_cell_length_b 7.239
_cell_length_c 5.525
_cell_angle_alpha 90.00
_cell_angle_beta 94.66
_cell_angle_gamma 90.00
loop_
_space_group_symop_operation_xyz
'x,y,z'
'-x,-y,-z'
'-x,y,-z'
'x,-y,z'
loop_
_atom_site_label
_atom_site_fract_x
_atom_site_fract_y
_atom_site_fract_z
La1 0.000 0.248 0.000
Nd1 0.500 0.500 0.500
Mo1 0.500 0.000 0.500
O1 0.038 0.500 0.250
O2 0.094 0.000 0.329
O3 0.438 0.203 0.731
```

Output
**Raw total energy**: -7.676 eV per atom
**Spin magnetization**: 1.0 Bohr magnetons per cell